The following is a PBE calculation of a geometry-optimized SmEr2Rh structure, from Alexandria.

CIF file:
```
data_SmEr2Rh
_chemical_formula_sum 'Sm1 Er2 Rh1'
_cell_length_a 3.472
_cell_length_b 3.472
_cell_length_c 8.638
_cell_angle_alpha 90.00
_cell_angle_beta 90.00
_cell_angle_gamma 90.00
_symmetry_space_group_name_H-M 'P 1'
_symmetry_Int_Tables_number 1
_symmetry_space_group_name_Hall 'P 1'
loop_
_atom_site_label
_atom_site_fract_x
_atom_site_fract_y
_atom_site_fract_z
_atom_site_occupancy
Sm1 0.000 0.000 0.000 1
Er1 0.500 0.500 0.312 1
Er2 0.500 0.500 0.688 1
Rh1 0.000 0.000 0.500 1
```

Relative energy among the computed polymorphs in meV per atom: 80
Crystal system: tetragonal
Space group: No. 123
Energy relative to the elements in eV per atom: -0.44
Magnetic moment in μB/f.u.: 0.00
Calculated total energy in eV/atom: -5.744



The following is a PBE calculation of a geometry-optimized Na3Sc2SnSe6 structure, from Alexandria.

CIF file:
```
data_Na3Sc2SnSe6
_chemical_formula_sum 'Na3 Sc2 Sn1 Se6'
_cell_length_a 6.961
_cell_length_b 6.961
_cell_length_c 7.332
_cell_angle_alpha 99.15
_cell_angle_beta 99.15
_cell_angle_gamma 120.02
_symmetry_space_group_name_H-M 'P 1'
_symmetry_Int_Tables_number 1
_symmetry_space_group_name_Hall 'P 1'
loop_
_atom_site_label
_atom_site_fract_x
_atom_site_fract_y
_atom_site_fract_z
_atom_site_occupancy
Na1 0.000 0.000 0.000 1
Na2 0.338 0.662 0.000 1
Na3 0.662 0.338 0.000 1
Sc1 0.167 0.833 0.500 1
Sc2 0.833 0.167 0.500 1
Sn1 0.500 0.500 0.500 1
Se1 0.081 0.426 0.279 1
Se2 0.229 0.229 0.720 1
Se3 0.426 0.081 0.279 1
Se4 0.574 0.919 0.721 1
Se5 0.771 0.771 0.280 1
Se6 0.919 0.574 0.721 1
```

Crystal system: monoclinic
Space group: No. 12
Magnetic moment in μB/f.u.: 0.00
Formation energy from raw total energies in eV/atom: -1.274
Calculated total energy in eV/atom: -4.735



The following is a PBE calculation of a geometry-optimized AgMoPt structure, from Alexandria.

CIF file:
```
data_AgMoPt
_chemical_formula_sum 'Ag1 Mo1 Pt1'
_cell_length_a 2.818
_cell_length_b 2.818
_cell_length_c 7.127
_cell_angle_alpha 90.00
_cell_angle_beta 90.00
_cell_angle_gamma 120.00
_symmetry_space_group_name_H-M 'P 1'
_symmetry_Int_Tables_number 1
_symmetry_space_group_name_Hall 'P 1'
loop_
_atom_site_label
_atom_site_fract_x
_atom_site_fract_y
_atom_site_fract_z
_atom_site_occupancy
Ag1 0.000 0.000 0.000 1
Mo1 0.333 0.667 0.348 1
Pt1 0.667 0.333 0.652 1
```

Relative energy among the computed polymorphs in meV per atom: 222
Crystal system: trigonal
Space group: No. 156
Energy relative to the elements in eV per atom: 0.10
Magnetic moment in μB/f.u.: 0.00
Calculated total energy in eV/atom: -6.475



The following is a PBE calculation of a geometry-optimized SrSc4Mo structure, from Alexandria.

CIF file:
```
data_SrSc4Mo
_chemical_formula_sum 'Sr1 Sc4 Mo1'
_cell_length_a 6.028
_cell_length_b 6.028
_cell_length_c 6.028
_cell_angle_alpha 60.00
_cell_angle_beta 60.00
_cell_angle_gamma 60.00
_symmetry_space_group_name_H-M 'P 1'
_symmetry_Int_Tables_number 1
_symmetry_space_group_name_Hall 'P 1'
loop_
_atom_site_label
_atom_site_fract_x
_atom_site_fract_y
_atom_site_fract_z
_atom_site_occupancy
Sr1 0.000 0.000 0.000 1
Sc1 0.380 0.380 0.380 1
Sc2 0.380 0.380 0.861 1
Sc3 0.380 0.861 0.380 1
Sc4 0.861 0.380 0.380 1
Mo1 0.750 0.750 0.750 1
```

Crystal system: cubic
Space group: No. 216
Energy relative to the elements in eV per atom: 0.71
Magnetic moment in μB/f.u.: 2.18
Calculated total energy in eV/atom: -5.592



The following is a PBE calculation of a geometry-optimized Al2AgCl structure, from Alexandria.

CIF file:
```
data_Al2AgCl
_chemical_formula_sum 'Al2 Ag1 Cl1'
_cell_length_a 3.086
_cell_length_b 3.086
_cell_length_c 8.036
_cell_angle_alpha 90.00
_cell_angle_beta 90.00
_cell_angle_gamma 90.00
_symmetry_space_group_name_H-M 'P 1'
_symmetry_Int_Tables_number 1
_symmetry_space_group_name_Hall 'P 1'
loop_
_atom_site_label
_atom_site_fract_x
_atom_site_fract_y
_atom_site_fract_z
_atom_site_occupancy
Al1 0.000 0.000 0.000 1
Al2 0.500 0.500 0.234 1
Ag1 0.500 0.500 0.794 1
Cl1 0.000 0.000 0.445 1
```

Relative energy among the computed polymorphs in meV per atom: 136
Crystal system: tetragonal
Space group: No. 99
Magnetic moment in μB/f.u.: 0.00
Formation energy from raw total energies in eV/atom: -0.094
Calculated total energy in eV/atom: -3.140



The following is a PBE calculation of a geometry-optimized HoLuRu2 structure, from Alexandria.

CIF file:
```
data_HoLuRu2
_chemical_formula_sum 'Ho1 Lu1 Ru2'
_cell_length_a 3.356
_cell_length_b 3.356
_cell_length_c 6.717
_cell_angle_alpha 90.00
_cell_angle_beta 90.00
_cell_angle_gamma 90.00
_symmetry_space_group_name_H-M 'P 1'
_symmetry_Int_Tables_number 1
_symmetry_space_group_name_Hall 'P 1'
loop_
_atom_site_label
_atom_site_fract_x
_atom_site_fract_y
_atom_site_fract_z
_atom_site_occupancy
Ho1 0.000 0.000 0.000 1
Lu1 0.000 0.000 0.500 1
Ru1 0.500 0.500 0.254 1
Ru2 0.500 0.500 0.746 1
```

Crystal system: tetragonal
Space group: No. 123
Energy relative to the elements in eV per atom: -0.41
Magnetic moment in μB/f.u.: 0.00
Calculated total energy in eV/atom: -7.323



The following is a PBE calculation of a geometry-optimized AlAu structure, from Alexandria.

CIF file:
```
data_AlAu
_chemical_formula_sum 'Al1 Au1'
_cell_length_a 4.473
_cell_length_b 4.473
_cell_length_c 4.473
_cell_angle_alpha 40.78
_cell_angle_beta 40.78
_cell_angle_gamma 40.78
_symmetry_space_group_name_H-M 'P 1'
_symmetry_Int_Tables_number 1
_symmetry_space_group_name_Hall 'P 1'
loop_
_atom_site_label
_atom_site_fract_x
_atom_site_fract_y
_atom_site_fract_z
_atom_site_occupancy
Al1 0.000 0.000 0.000 1
Au1 0.500 0.500 0.500 1
```

Crystal system: trigonal
Space group: No. 166
Energy relative to the elements in eV per atom: -0.29
Magnetic moment in μB/f.u.: 0.00
Calculated total energy in eV/atom: -3.802



The following is a PBE calculation of a geometry-optimized GdHfF7 structure, from Alexandria.

CIF file:
```
data_GdHfF7
_chemical_formula_sum 'Gd2 Hf2 F14'
_cell_length_a 6.144
_cell_length_b 5.865
_cell_length_c 8.370
_cell_angle_alpha 90.00
_cell_angle_beta 103.02
_cell_angle_gamma 90.00
_symmetry_space_group_name_H-M 'P 1'
_symmetry_Int_Tables_number 1
_symmetry_space_group_name_Hall 'P 1'
loop_
_atom_site_label
_atom_site_fract_x
_atom_site_fract_y
_atom_site_fract_z
_atom_site_occupancy
Gd1 0.155 0.000 0.190 1
Gd2 0.845 0.500 0.810 1
Hf1 0.316 0.006 0.725 1
Hf2 0.684 0.506 0.275 1
F1 0.034 0.715 0.014 1
F2 0.081 0.762 0.707 1
F3 0.093 0.262 0.706 1
F4 0.271 0.002 0.481 1
F5 0.360 0.011 0.970 1
F6 0.435 0.275 0.254 1
F7 0.447 0.745 0.263 1
F8 0.553 0.245 0.737 1
F9 0.565 0.775 0.746 1
F10 0.640 0.511 0.030 1
F11 0.729 0.502 0.519 1
F12 0.907 0.762 0.294 1
F13 0.919 0.262 0.293 1
F14 0.966 0.215 0.986 1
```

Crystal system: monoclinic
Space group: No. 4
Magnetic moment in μB/f.u.: 6.97
Formation energy from raw total energies in eV/atom: -3.964
Calculated total energy in eV/atom: -8.090



The following is a PBE calculation of a geometry-optimized Rb2PbCl structure, from Alexandria.

CIF file:
```
data_Rb2PbCl
_chemical_formula_sum 'Rb2 Pb1 Cl1'
_cell_length_a 11.833
_cell_length_b 11.833
_cell_length_c 11.833
_cell_angle_alpha 20.31
_cell_angle_beta 20.31
_cell_angle_gamma 20.31
_symmetry_space_group_name_H-M 'P 1'
_symmetry_Int_Tables_number 1
_symmetry_space_group_name_Hall 'P 1'
loop_
_atom_site_label
_atom_site_fract_x
_atom_site_fract_y
_atom_site_fract_z
_atom_site_occupancy
Rb1 0.105 0.105 0.105 1
Rb2 0.895 0.895 0.895 1
Pb1 0.000 0.000 0.000 1
Cl1 0.500 0.500 0.500 1
```

Relative energy among the computed polymorphs in meV per atom: 171
Crystal system: trigonal
Space group: No. 166
Magnetic moment in μB/f.u.: 0.00
Formation energy from raw total energies in eV/atom: -0.723
Calculated total energy in eV/atom: -2.596



The following is a PBE calculation of a geometry-optimized PuIn5 structure, from Alexandria.

CIF file:
```
data_PuIn5
_chemical_formula_sum 'Pu1 In5'
_cell_length_a 7.387
_cell_length_b 7.387
_cell_length_c 4.750
_cell_angle_alpha 90.00
_cell_angle_beta 90.00
_cell_angle_gamma 143.39
_symmetry_space_group_name_H-M 'P 1'
_symmetry_Int_Tables_number 1
_symmetry_space_group_name_Hall 'P 1'
loop_
_atom_site_label
_atom_site_fract_x
_atom_site_fract_y
_atom_site_fract_z
_atom_site_occupancy
Pu1 0.000 0.000 0.000 1
In1 0.166 0.834 0.500 1
In2 0.330 0.670 0.000 1
In3 0.500 0.500 0.500 1
In4 0.670 0.330 0.000 1
In5 0.834 0.166 0.500 1
```

Crystal system: orthorhombic
Space group: No. 65
Energy relative to the elements in eV per atom: -0.10
Magnetic moment in μB/f.u.: 6.03
Calculated total energy in eV/atom: -4.771



The following is a PBE calculation of a geometry-optimized Mo2RuPt structure, from Alexandria.

CIF file:
```
data_Mo2RuPt
_chemical_formula_sum 'Mo2 Ru1 Pt1'
_cell_length_a 3.282
_cell_length_b 3.282
_cell_length_c 5.752
_cell_angle_alpha 90.00
_cell_angle_beta 90.00
_cell_angle_gamma 90.00
_symmetry_space_group_name_H-M 'P 1'
_symmetry_Int_Tables_number 1
_symmetry_space_group_name_Hall 'P 1'
loop_
_atom_site_label
_atom_site_fract_x
_atom_site_fract_y
_atom_site_fract_z
_atom_site_occupancy
Mo1 0.000 0.000 0.000 1
Mo2 0.500 0.500 0.269 1
Ru1 0.500 0.500 0.785 1
Pt1 0.000 0.000 0.512 1
```

Relative energy among the computed polymorphs in meV per atom: 235
Crystal system: tetragonal
Space group: No. 99
Energy relative to the elements in eV per atom: 0.04
Magnetic moment in μB/f.u.: 0.00
Calculated total energy in eV/atom: -9.207



The following is a PBE calculation of a geometry-optimized Fe2Mo2Au structure, from Alexandria.

CIF file:
```
data_Fe2Mo2Au
_chemical_formula_sum 'Fe4 Mo4 Au2'
_cell_length_a 7.087
_cell_length_b 7.087
_cell_length_c 2.803
_cell_angle_alpha 90.00
_cell_angle_beta 90.00
_cell_angle_gamma 90.00
_symmetry_space_group_name_H-M 'P 1'
_symmetry_Int_Tables_number 1
_symmetry_space_group_name_Hall 'P 1'
loop_
_atom_site_label
_atom_site_fract_x
_atom_site_fract_y
_atom_site_fract_z
_atom_site_occupancy
Fe1 0.130 0.370 0.000 1
Fe2 0.370 0.870 0.000 1
Fe3 0.630 0.130 0.000 1
Fe4 0.870 0.630 0.000 1
Mo1 0.164 0.664 0.500 1
Mo2 0.336 0.164 0.500 1
Mo3 0.664 0.836 0.500 1
Mo4 0.836 0.336 0.500 1
Au1 0.000 0.000 0.000 1
Au2 0.500 0.500 0.000 1
```

Crystal system: tetragonal
Space group: No. 127
Energy relative to the elements in eV per atom: 0.17
Magnetic moment in μB/f.u.: 0.00
Calculated total energy in eV/atom: -8.201



D(E_F) (states/eV per atom)
1.142; 0.290; 1.019; 1.679; 0.264; 1.233; 0.223; 0.000; 0.462; 2.175; 0.712; 0.718